# RbAuOF2 (PBE, optimized geometry)
data_RbAuOF2
_chemical_formula_sum 'Rb1 Au1 O1 F2'
_space_group_name_H-M_alt 'P 4/m m m'
_space_group_IT_number 123
_space_group_name_Hall '-P 4 2'
_cell_length_a 4.9060
_cell_length_b 4.9060
_cell_length_c 5.1149
_cell_angle_alpha 90.00
_cell_angle_beta 90.00
_cell_angle_gamma 90.00
loop_
_atom_site_label
_atom_site_fract_x
_atom_site_fract_y
_atom_site_fract_z
_atom_site_occupancy
Rb1 0.0000 0.0000 0.0000 1
Au1 0.5000 0.5000 0.5000 1
O1 0.0000 0.0000 0.5000 1
F1 0.0000 0.5000 0.0000 1
# total magnetization: 1.486 μB/cell
# uncorrected formation energy: 3 kJ/mol of formula units
# total energy: -2.582 eV per atom